Model 1:
Entry from the Alexandria database: crystalline Tm2InBi at its relaxed geometry (PBE).

Cell and atoms, written as POSCAR:
```
Tm2InBi
1.0
-2.567 -0.025 3.035
2.886 -1.250 2.431
1.628 6.540 1.431
Tm Bi In
2 1 1
Direct
0.000 0.000 0.750 Tm
0.000 0.000 0.250 Tm
0.500 0.500 0.000 Bi
0.500 0.500 0.500 In
```

For the total moment, the calculation gives 0.002 μB per cell. Its space-group type is No. 123.

Model 2:
Entry from the Alexandria database: crystalline Tm2InBi at its relaxed geometry (PBE).

Cell and atoms, written as POSCAR:
```
Tm2InBi
1.0
4.120 0.000 0.000
2.060 3.568 0.000
2.060 1.189 8.314
Tm In Bi
2 1 1
Direct
0.078 0.078 0.766 Tm
0.255 0.255 0.235 Tm
0.499 0.499 0.502 In
0.668 0.668 0.997 Bi
```

For the total moment, the calculation gives 0.000 μB per cell. Its space-group type is No. 160.

We find model 1 to be the most stable, with the next structure 0.096 eV/atom higher.

Model 1:
Entry from the Alexandria database: crystalline UIn2Bi at its relaxed geometry (PBE).

Cell and atoms, written as POSCAR:
```
UIn2Bi
1.0
5.020 0.000 0.000
0.000 4.574 0.000
0.000 0.000 4.574
U Bi In
1 1 2
Direct
0.500 0.500 0.500 U
0.500 0.000 0.000 Bi
0.000 0.000 0.500 In
0.000 0.500 0.000 In
```

For the total moment, the calculation gives 2.748 μB per cell. Its space-group type is No. 123.

Model 2:
Entry from the Alexandria database: crystalline UIn2Bi at its relaxed geometry (PBE).

Cell and atoms, written as POSCAR:
```
UIn2Bi
1.0
-3.613 -3.590 1.895
1.011 -5.326 -0.371
1.114 -2.873 4.475
U Bi In
1 1 2
Direct
0.500 0.500 0.500 U
0.000 0.000 0.000 Bi
0.250 0.250 0.250 In
0.750 0.750 0.750 In
```

For the total moment, the calculation gives 3.348 μB per cell. Its space-group type is No. 225.

Model 3:
Entry from the Alexandria database: crystalline UIn2Bi at its relaxed geometry (PBE).

Cell and atoms, written as POSCAR:
```
UIn2Bi
1.0
-0.100 1.088 4.226
-1.422 -4.163 1.038
5.930 -0.093 -2.090
U In Bi
1 2 1
Direct
0.000 0.000 0.000 U
0.250 0.750 0.499 In
0.750 0.250 0.501 In
0.500 0.500 0.000 Bi
```

For the total moment, the calculation gives 2.788 μB per cell. Its space-group type is No. 71.

We find model 1 to be the most stable, with the next structure 0.066 eV/atom higher.

Model 1:
Entry from the Alexandria database: crystalline UInBi2 at its relaxed geometry (PBE).

Cell and atoms, written as POSCAR:
```
UInBi2
1.0
4.141 0.000 0.000
0.000 4.141 0.000
0.000 0.000 6.735
U Bi In
1 2 1
Direct
0.500 0.500 0.000 U
0.000 0.000 0.762 Bi
0.000 0.000 0.238 Bi
0.500 0.500 0.500 In
```

For the total moment, the calculation gives 2.719 μB per cell. Its space-group type is No. 123.

Model 2:
Entry from the Alexandria database: crystalline UInBi2 at its relaxed geometry (PBE).

Cell and atoms, written as POSCAR:
```
UInBi2
1.0
-2.442 0.122 3.537
1.372 -4.754 1.112
3.942 1.760 2.661
U Bi In
1 2 1
Direct
0.500 0.500 0.500 U
0.000 0.000 0.500 Bi
0.000 0.500 0.000 Bi
0.500 0.000 0.000 In
```

For the total moment, the calculation gives 2.331 μB per cell. Its space-group type is No. 123.

We find model 2 to be the most stable, with the next structure 0.010 eV/atom higher.

Model 1:
Entry from the Alexandria database: crystalline UInBi2 at its relaxed geometry (PBE).

Cell and atoms, written as POSCAR:
```
UInBi2
1.0
-4.306 -1.094 1.874
-0.325 -3.211 3.583
-0.841 3.526 6.329
U In Bi
1 1 2
Direct
0.665 0.665 0.005 U
0.497 0.497 0.510 In
0.077 0.077 0.769 Bi
0.261 0.261 0.217 Bi
```

For the total moment, the calculation gives 2.286 μB per cell. Its space-group type is No. 160.

Model 2:
Entry from the Alexandria database: crystalline UInBi2 at its relaxed geometry (PBE).

Cell and atoms, written as POSCAR:
```
UInBi2
1.0
-3.448 -2.288 1.137
-0.076 -4.239 -0.664
2.118 -3.410 7.661
U Bi In
1 2 1
Direct
0.000 0.000 0.000 U
0.253 0.253 0.241 Bi
0.747 0.747 0.759 Bi
0.500 0.500 0.500 In
```

For the total moment, the calculation gives 2.474 μB per cell. Its space-group type is No. 166.

We find model 1 to be the most stable, with the next structure 0.014 eV/atom higher.

Model 1:
Entry from the Alexandria database: crystalline UInBi3 at its relaxed geometry (PBE).

Cell and atoms, written as POSCAR:
```
UInBi3
1.0
-2.862 -0.333 -5.377
-1.595 -2.925 2.801
-4.954 2.420 3.092
U In Bi
1 1 3
Direct
0.503 0.141 0.241 U
0.089 0.539 0.032 In
0.284 0.328 0.647 Bi
0.658 0.933 0.815 Bi
0.919 0.784 0.370 Bi
```

For the total moment, the calculation gives 2.872 μB per cell. Its space-group type is No. 1.

Model 2:
Entry from the Alexandria database: crystalline UInBi3 at its relaxed geometry (PBE).

Cell and atoms, written as POSCAR:
```
UInBi3
1.0
6.342 0.000 0.000
0.000 5.528 0.000
0.000 0.000 9.676
U In Bi
2 2 6
Direct
0.500 0.000 0.000 U
0.000 0.000 0.000 U
0.250 0.537 0.500 In
0.750 0.463 0.500 In
0.250 0.036 0.700 Bi
0.750 0.500 0.000 Bi
0.250 0.500 0.000 Bi
0.750 0.964 0.700 Bi
0.250 0.036 0.300 Bi
0.750 0.964 0.300 Bi
```

For the total moment, the calculation gives 4.767 μB per cell. Its space-group type is No. 51.

We find model 1 to be the most stable, with the next structure 0.053 eV/atom higher.

Model 1:
Entry from the Alexandria database: crystalline InBiW2 at its relaxed geometry (PBE).

Cell and atoms, written as POSCAR:
```
InBiW2
1.0
-0.510 0.680 4.709
-2.992 3.364 1.621
-4.072 -1.265 2.173
Bi W In
1 2 1
Direct
0.500 0.500 0.500 Bi
0.250 0.250 0.250 W
0.750 0.750 0.750 W
0.000 0.000 0.000 In
```

For the total moment, the calculation gives 0.000 μB per cell. Its space-group type is No. 225.

Model 2:
Entry from the Alexandria database: crystalline InBiW2 at its relaxed geometry (PBE).

Cell and atoms, written as POSCAR:
```
InBiW2
1.0
4.209 0.000 0.000
0.000 4.209 0.000
2.104 2.104 10.092
Bi W In
2 4 2
Direct
0.000 0.000 0.000 Bi
0.750 0.250 0.500 Bi
0.558 0.125 0.250 W
0.192 0.625 0.250 W
0.375 0.442 0.750 W
0.875 0.808 0.750 W
0.500 0.500 0.000 In
0.250 0.750 0.500 In
```

For the total moment, the calculation gives 0.000 μB per cell. Its space-group type is No. 122.

We find model 2 to be the most stable, with the next structure 0.034 eV/atom higher.